A relaxed structure of NaAcMnF6. Source: Alexandria, functional GGA+U.

```
data_NaAcMnF6
_cell_length_a 5.330
_cell_length_b 5.330
_cell_length_c 10.833
_cell_angle_alpha 90.00
_cell_angle_beta 90.00
_cell_angle_gamma 90.00
_symmetry_space_group_name_H-M 'P 1'
_symmetry_Int_Tables_number 1
_symmetry_space_group_name_Hall 'P 1'
loop_
_atom_site_label
_atom_site_type_symbol
_atom_site_fract_x
_atom_site_fract_y
_atom_site_fract_z
_atom_site_occupancy
F1 F 0.319 0.319 0.678 1
F2 F 0.216 0.784 0.834 1
F3 F 0.810 0.190 0.486 1
Ac1 Ac 0.500 0.500 0.168 1
Mn1 Mn 0.000 0.000 0.334 1
Na1 Na 0.000 0.000 0.001 1
Na2 Na 0.500 0.500 0.501 1
F4 F 0.181 0.819 0.178 1
F5 F 0.784 0.216 0.834 1
F6 F 0.690 0.690 0.986 1
F7 F 0.716 0.716 0.334 1
F8 F 0.310 0.310 0.986 1
Ac2 Ac 0.000 0.000 0.668 1
F9 F 0.819 0.181 0.178 1
Mn2 Mn 0.500 0.500 0.834 1
F10 F 0.190 0.810 0.486 1
F11 F 0.681 0.681 0.678 1
F12 F 0.284 0.284 0.334 1
```

Computed properties:
The value obtained for the total energy is -6.000 eV per atom. The spin magnetization comes out at 10.000 Bohr magnetons per cell.